# La2Pm2PrY4 (PBE-GGA, relaxed)
# Calculated density = 5.743 g/cm³
# Formation energy from the elements = -0.005 eV/atom
# D(E_F) = 27.2 states/eV/cell
data_La2Pm2PrY4
_cell_length_a 19.057
_cell_length_b 3.678
_cell_length_c 9.750
_cell_angle_alpha 90.00
_cell_angle_beta 115.76
_cell_angle_gamma 90.00
_symmetry_space_group_name_H-M 'C 1 2/m 1'
_symmetry_Int_Tables_number 12
loop_
_symmetry_equiv_pos_as_xyz
'x,y,z'
'-x,-y,-z'
'-x,y,-z'
'x,-y,z'
'x+1/2,y+1/2,z'
'-x+1/2,-y+1/2,-z'
'-x+1/2,y+1/2,-z'
'x+1/2,-y+1/2,z'
loop_
_atom_site_label
_atom_site_fract_x
_atom_site_fract_y
_atom_site_fract_z
La1 0.166 0.000 0.000
Pm1 0.148 0.500 0.664
Pr1 0.000 0.500 0.000
Y1 0.020 0.000 0.336
Y2 0.186 0.500 0.337

# La2PmPrY (PBE-GGA, relaxed)
# Calculated density = 6.045 g/cm³
# Formation energy from the elements = 0.030 eV/atom
# D(E_F) = 17.7 states/eV/cell
data_La2PmPrY
_cell_length_a 6.463
_cell_length_b 5.940
_cell_length_c 9.878
_cell_angle_alpha 90.00
_cell_angle_beta 109.04
_cell_angle_gamma 90.00
_symmetry_space_group_name_H-M 'P 1 21/m 1'
_symmetry_Int_Tables_number 11
loop_
_symmetry_equiv_pos_as_xyz
'x,y,z'
'-x,-y,-z'
'-x,y+1/2,-z'
'x,-y+1/2,z'
loop_
_atom_site_label
_atom_site_fract_x
_atom_site_fract_y
_atom_site_fract_z
La1 0.039 0.250 0.402
La2 0.233 0.250 0.801
Pm1 0.364 0.750 0.399
Pr1 0.431 0.250 0.198
Y1 0.163 0.750 0.000

# LaPm2Pr2Y (PBE-GGA, relaxed)
# Calculated density = 6.316 g/cm³
# Formation energy from the elements = 0.051 eV/atom
# D(E_F) = 17.8 states/eV/cell
data_LaPm2Pr2Y
_cell_length_a 5.825
_cell_length_b 10.074
_cell_length_c 7.166
_cell_angle_alpha 90.00
_cell_angle_beta 90.00
_cell_angle_gamma 90.00
_symmetry_space_group_name_H-M 'P m c 21'
_symmetry_Int_Tables_number 26
loop_
_symmetry_equiv_pos_as_xyz
'x,y,z'
'-x,-y,z+1/2'
'-x,y,z'
'x,-y,z+1/2'
loop_
_atom_site_label
_atom_site_fract_x
_atom_site_fract_y
_atom_site_fract_z
La1 0.000 0.000 0.000
Pm1 0.000 0.336 0.250
Pm2 0.500 0.170 0.750
Pr1 0.000 0.330 0.750
Pr2 0.500 0.500 0.000
Y1 0.500 0.164 0.250

# La2PmPr4Y2 (PBE-GGA, relaxed)
# Calculated density = 6.064 g/cm³
# Formation energy from the elements = 0.004 eV/atom
# D(E_F) = 26.5 states/eV/cell
data_La2PmPr4Y2
_cell_length_a 19.282
_cell_length_b 3.720
_cell_length_c 9.873
_cell_angle_alpha 90.00
_cell_angle_beta 115.80
_cell_angle_gamma 90.00
_symmetry_space_group_name_H-M 'C 1 2/m 1'
_symmetry_Int_Tables_number 12
loop_
_symmetry_equiv_pos_as_xyz
'x,y,z'
'-x,-y,-z'
'-x,y,-z'
'x,-y,z'
'x+1/2,y+1/2,z'
'-x+1/2,-y+1/2,-z'
'-x+1/2,y+1/2,-z'
'x+1/2,-y+1/2,z'
loop_
_atom_site_label
_atom_site_fract_x
_atom_site_fract_y
_atom_site_fract_z
La1 0.166 0.000 0.499
Pm1 0.000 0.500 0.500
Pr1 0.018 0.000 0.836
Pr2 0.186 0.500 0.833
Y1 0.148 0.500 0.167